Here is an optimized crystal structure of Sm2VMoO6 from Alexandria via LeMat-Bulk. Energies are from PBE with a Hubbard U.

Cell and atoms, written as POSCAR:
```
Sm2VMoO6
1.0
5.4912 0.0000 -0.0301
0.0000 5.8690 0.0000
0.0049 0.0000 7.9132
Sm V Mo O
4 2 2 12
direct
0.0200 0.9355 0.2511
0.5200 0.5645 0.7511
0.9800 0.0645 0.7489
0.4800 0.4355 0.2489
0.5000 0.0000 0.5000
0.0000 0.5000 0.0000
0.5000 0.0000 0.0000
0.0000 0.5000 0.5000
0.3015 0.6894 0.0556
0.8015 0.8106 0.5556
0.6985 0.3106 0.9444
0.1985 0.1894 0.4444
0.3134 0.6994 0.4357
0.8134 0.8006 0.9357
0.6866 0.3006 0.5643
0.1866 0.1994 0.0643
0.8832 0.5486 0.2418
0.3832 0.9514 0.7418
0.1168 0.4514 0.7582
0.6168 0.0486 0.2582
```

Results
**Density**: 7.079 g/cm3
**Space-group type**: P2_1/c, No. 14
**Density of states at the Fermi level**: 0.00 states/eV per atom
**E**: -8.06 eV/atom